Material: GaTc2OsBr
Method: DFT, GGA-PBE
State: relaxed

Lattice parameters (Å, degrees): 4.5485 4.5485 4.5620 90.00 90.00 90.00
Closest atoms and distances in Å follow each position.
Fractional positions:
Ga: 0.0000 0.0000 0.0000  4 Os 3.22, 8 Tc 3.22
Tc: 0.0000 0.5000 0.5000  2 Br 2.27
Tc: 0.5000 0.0000 0.5000  2 Br 2.27
Os: 0.5000 0.5000 0.0000  2 Br 2.28
Br: 0.5000 0.5000 0.5000  4 Tc 2.27, 2 Os 2.28

Properties
Crystal system   tetragonal
Calculated total energy   -5.49 eV/atom
Space-group type   P4/mmm (123)


Material: Sr2BeMo
Method: DFT, GGA-PBE
State: relaxed

Lattice parameters (Å, degrees): 10.3857 10.3857 10.3857 18.86 18.86 18.86
Closest atoms and distances in Å follow each position.
Fractional positions:
Sr: 0.2483 0.2483 0.2483  3 Be 3.18, 3 Mo 3.26, 6 Sr 3.40
Sr: 0.7517 0.7517 0.7517  3 Be 3.18, 3 Mo 3.26, 6 Sr 3.40
Be: 0.5000 0.5000 0.5000  6 Sr 3.18, 6 Be 3.40
Mo: 0.0000 0.0000 0.0000  6 Sr 3.26, 6 Mo 3.40

Properties
Crystal system   trigonal
Calculated total energy   -3.20 eV/atom
Space-group type   R-3m (166)


Material: NaAl3Se
Method: DFT, GGA-PBE
State: relaxed

Lattice parameters (Å, degrees): 5.2121 5.2121 5.2121 90.00 90.00 90.00
Closest atoms and distances in Å follow each position.
Fractional positions:
Na: 0.0000 0.0000 0.0000  6 Al 2.61
Al: 0.0000 0.0000 0.5000  2 Na 2.61
Al: 0.0000 0.5000 0.0000  2 Na 2.61
Al: 0.5000 0.0000 0.0000  2 Na 2.61
Se: 0.5000 0.5000 0.5000  12 Al 3.69

Properties
Crystal system   cubic
Calculated total energy   -2.23 eV/atom
Space-group type   Pm-3m (221)
Polymorph energy (0 for the lowest one)   0.491 eV/atom


Material: Tb5CoBi
Method: DFT, GGA-PBE
State: relaxed

Lattice parameters (Å, degrees): 7.3293 7.3293 9.5463 104.60 104.60 71.21
Closest atoms and distances in Å follow each position.
Fractional positions:
Tb: 0.0906 0.9094 0.7500  2 Co 2.51
Tb: 0.1004 0.3313 0.6437  1 Co 2.70
Tb: 0.1822 0.6325 0.0235  1 Co 2.63
Tb: 0.3313 0.1004 0.1437  1 Co 2.70
Tb: 0.3675 0.8178 0.4765  1 Co 2.63
Tb: 0.6325 0.1822 0.5235  1 Co 2.63
Tb: 0.6687 0.8996 0.8563  1 Co 2.70
Tb: 0.8178 0.3675 0.9765  1 Co 2.63
Tb: 0.8996 0.6687 0.3563  1 Co 2.70
Tb: 0.9094 0.0906 0.2500  2 Co 2.51
Co: 0.0000 0.0000 0.0000  6 Tb 2.51-2.70
Co: 0.0000 0.0000 0.5000  6 Tb 2.51-2.70
Bi: 0.4530 0.5470 0.7500  5 Tb 3.09-3.27
Bi: 0.5470 0.4530 0.2500  5 Tb 3.09-3.27

Properties
Crystal system   monoclinic
Calculated total energy   -4.96 eV/atom
Space-group type   C2/c (15)


Material: LiGa6Ir5
Method: DFT, GGA-PBE
State: relaxed

Lattice parameters (Å, degrees): 6.8957 6.8957 6.0167 90.03 90.03 143.27
Closest atoms and distances in Å follow each position.
Fractional positions:
Li: 0.0000 0.0000 0.0000  8 Ga 2.63
Ga: 0.1663 0.8339 0.2467  7 Ir 2.63-2.69, 1 Li 2.63
Ga: 0.1661 0.8337 0.7533  7 Ir 2.63-2.69, 1 Li 2.63
Ga: 0.4996 0.4996 0.2468  6 Ir 2.60-2.67, 2 Li 2.63
Ga: 0.5004 0.5004 0.7532  6 Ir 2.60-2.67, 2 Li 2.63
Ga: 0.8339 0.1663 0.2467  7 Ir 2.63-2.69, 1 Li 2.63
Ga: 0.8337 0.1661 0.7533  7 Ir 2.63-2.69, 1 Li 2.63
Ir: 0.0000 0.0000 0.5000  8 Ga 2.65-2.66
Ir: 0.3321 0.6679 0.5000  8 Ga 2.65-2.67
Ir: 0.3374 0.6626 0.0000  8 Ga 2.60-2.69
Ir: 0.6626 0.3374 0.0000  8 Ga 2.60-2.69
Ir: 0.6679 0.3321 0.5000  8 Ga 2.65-2.67

Properties
Crystal system   monoclinic
Calculated total energy   -5.77 eV/atom
Space-group type   C2/m (12)
Polymorph energy (0 for the lowest one)   0.002 eV/atom


Material: PRhS2
Method: DFT, GGA-PBE
State: relaxed

Lattice parameters (Å, degrees): 6.9615 6.9615 6.9615 138.17 138.17 60.65
Closest atoms and distances in Å follow each position.
Fractional positions:
P: 0.0000 0.0000 0.0000  4 S 2.32
P: 0.7500 0.2500 0.5000  4 S 2.32
Rh: 0.2500 0.7500 0.5000  4 S 2.31
Rh: 0.5000 0.5000 0.0000  4 S 2.31
S: 0.1266 0.6250 0.0016  2 Rh 2.31, 2 P 2.32
S: 0.3750 0.3766 0.5016  2 Rh 2.31, 2 P 2.32
S: 0.6234 0.1250 0.9984  2 Rh 2.31, 2 P 2.32
S: 0.8750 0.8734 0.4984  2 Rh 2.31, 2 P 2.32

Properties
Crystal system   tetragonal
Calculated total energy   -5.07 eV/atom
Space-group type   I-42d (122)


Material: UFe2
Method: DFT, GGA-PBE
State: relaxed

Lattice parameters (Å, degrees): 4.9339 4.9339 4.9339 60.00 60.00 60.00
Closest atoms and distances in Å follow each position.
Fractional positions:
U: 0.1250 0.1250 0.1250  12 Fe 2.89, 4 U 3.02
U: 0.8750 0.8750 0.8750  12 Fe 2.89, 4 U 3.02
Fe: 0.0000 0.5000 0.5000  6 Fe 2.47
Fe: 0.5000 0.0000 0.5000  6 Fe 2.47
Fe: 0.5000 0.5000 0.0000  6 Fe 2.47
Fe: 0.5000 0.5000 0.5000  6 Fe 2.47

Properties
Crystal system   cubic
Calculated total energy   -9.52 eV/atom
Space-group type   Fd-3m (227)


Material: Sr2CuAg3
Method: DFT, GGA-PBE
State: relaxed

Lattice parameters (Å, degrees): 9.4123 9.1188 6.2601 72.81 67.75 39.45
Closest atoms and distances in Å follow each position.
Fractional positions:
Sr: 0.2491 0.7509 0.7509  10 Ag 3.38-3.48, 2 Cu 3.40
Sr: 0.2500 0.2500 0.2500  8 Ag 3.37-3.38, 4 Cu 3.42
Sr: 0.7500 0.7500 0.7500  8 Ag 3.37-3.38, 4 Cu 3.42
Sr: 0.7509 0.2491 0.2491  10 Ag 3.38-3.48, 2 Cu 3.40
Cu: 0.3340 0.3340 0.6660  3 Ag 2.63-2.64
Cu: 0.6660 0.6660 0.3340  3 Ag 2.63-2.64
Ag: 0.1720 0.1720 0.8280  1 Cu 2.64, 2 Ag 2.81
Ag: 0.1719 0.6562 0.3438  1 Cu 2.63, 2 Ag 2.80-2.81
Ag: 0.3438 0.8281 0.1719  1 Cu 2.63, 2 Ag 2.80-2.81
Ag: 0.6562 0.1719 0.8281  1 Cu 2.63, 2 Ag 2.80-2.81
Ag: 0.8281 0.3438 0.6562  1 Cu 2.63, 2 Ag 2.80-2.81
Ag: 0.8280 0.8280 0.1720  1 Cu 2.64, 2 Ag 2.81

Properties
Crystal system   orthorhombic
Calculated total energy   -2.89 eV/atom
Space-group type   Fmmm (69)